Compound: CrFe2Ir
Source: the Alexandria database
Functional: PBE
Structure: relaxed

Output
**Total DFT energy (no corrections)**: -8.70 eV/atom
**Energy of formation from the pure elements**: 0.612 eV per formula unit

Cell: 8.4621 8.4621 8.4621 Å, 17.81 17.81 17.81°
Sites, in units of the cell vectors:
Fe 0.0035 0.0035 0.0035
Fe 0.4965 0.4965 0.4965
Ir 0.2500 0.2500 0.2500
Cr 0.7500 0.7500 0.7500

=====

Compound: Sr2PuMgN4
Source: the Alexandria database
Functional: PBE
Structure: relaxed

Output
**Total DFT energy (no corrections)**: -7.37 eV/atom
**Formation energy from raw total energies**: -0.79 eV/atom

Cell: 4.7673 4.7696 11.1418 Å, 90.00 90.00 90.00°
Sites, in units of the cell vectors:
Sr 0.9375 0.7500 0.2499
Sr 0.4375 0.2500 0.2501
Sr 0.4375 0.2500 0.7499
Sr 0.9375 0.7500 0.7501
N 0.9375 0.2500 0.1771
N 0.4375 0.7500 0.3229
N 0.4375 0.7500 0.6771
N 0.9375 0.2500 0.8229
N 0.9375 0.7500 0.0000
N 0.9375 0.7499 0.5000
N 0.4375 0.2501 0.0000
N 0.4375 0.2500 0.5000
Pu 0.4375 0.7500 0.5000
Pu 0.9375 0.2500 0.0000
Mg 0.4375 0.7499 0.0000
Mg 0.9375 0.2501 0.5000

=====

Compound: Ba4Ge2H
Source: the Alexandria database
Functional: PBE
Structure: relaxed

Output
**Total DFT energy (no corrections)**: -3.30 eV/atom

Cell: 7.4302 7.8139 9.5119 Å, 90.00 108.57 90.00°
Sites, in units of the cell vectors:
Ba 0.0730 0.7500 0.9093
Ba 0.9270 0.2500 0.0907
Ba 0.9461 0.2500 0.6275
Ba 0.4999 0.4949 0.7455
Ba 0.5001 0.9949 0.2545
Ba 0.5001 0.5051 0.2545
Ba 0.4999 0.0051 0.7455
Ba 0.0539 0.7500 0.3725
Ge 0.2953 0.2500 0.9553
Ge 0.7433 0.7500 0.5680
Ge 0.2567 0.2500 0.4320
Ge 0.7047 0.7500 0.0447
H 0.7393 0.2500 0.8056
H 0.2607 0.7500 0.1944

=====

Compound: Zr2FeHg2
Source: the Alexandria database
Functional: PBE
Structure: relaxed

Output
**Total DFT energy (no corrections)**: -5.04 eV/atom
**Energy of formation from the pure elements**: 0.948 eV per formula unit

Cell: 7.1187 7.1187 4.1542 Å, 90.00 90.00 90.00°
Sites, in units of the cell vectors:
Fe 0.0000 0.0000 0.0000
Fe 0.5000 0.5000 0.0000
Hg 0.1407 0.3593 0.0000
Hg 0.6407 0.1407 0.0000
Hg 0.3593 0.8593 0.0000
Hg 0.8593 0.6407 0.0000
Zr 0.6681 0.8319 0.5000
Zr 0.3319 0.1681 0.5000
Zr 0.8319 0.3319 0.5000
Zr 0.1681 0.6681 0.5000

=====

Q: Look up the total DFT energy (no corrections) of the third one.
A: -3.30 eV/atom